1.
RbIrRu, optimized geometry, DFT GGA-PBE; volume = 27.44 A^3/atom; electronic total energy = -5.59 eV/atom; formation energy from the elements = 774.6 meV per atom; offset from the most stable computed form = 274 meV/atom
1.0
4.0021 0.0000 0.0000
-2.0010 3.4659 0.0000
0.0000 0.0000 11.8695
Rb Ir Ru
2 2 2
Cartesian
0.0000 0.0000 0.0000
0.0000 0.0000 5.9348
0.0000 2.3106 2.6769
0.0000 2.3106 9.1926
2.0010 1.1553 3.2562
2.0010 1.1553 8.6133

=====

2.
BaLaHg2, optimized geometry, DFT GGA-PBE; volume = 38.86 A^3/atom; electronic total energy = -2.06 eV/atom; formation energy from the elements = -192.0 meV per atom
1.0
8.7504 0.0000 0.0000
0.0000 8.7504 0.0000
0.0000 0.0000 8.1199
Ba La Hg
4 4 8
Cartesian
0.0000 0.0000 0.0000
0.0000 4.3752 2.0300
4.3752 0.0000 6.0899
4.3752 4.3752 4.0599
0.0000 0.0000 4.0599
0.0000 4.3752 6.0899
4.3752 0.0000 2.0300
4.3752 4.3752 0.0000
1.9747 2.1876 5.0749
2.1876 6.3499 7.1049
2.1876 6.7757 3.0449
2.4005 2.1876 1.0150
6.3499 6.5628 1.0150
6.5628 1.9747 3.0449
6.5628 2.4005 7.1049
6.7757 6.5628 5.0749

=====

no.,D(E_F) (states/eV/cell)
1,4.5
2,32.4